# Mn3NiCl8 | Alexandria via LeMat-Bulk | PBE | optimized geometry
# - electronic total energy (eV/f.u.) = -59.05
# - formation energy (no corrections) (meV per atom) = -915.3
data_Mn3NiCl8
_cell_length_a 7.2452
_cell_length_b 10.6151
_cell_length_c 7.2334
_cell_angle_alpha 90.00
_cell_angle_beta 90.00
_cell_angle_gamma 90.00
_symmetry_space_group_name_H-M 'C 2 2 2'
_symmetry_Int_Tables_number 21
loop_
_symmetry_equiv_pos_as_xyz
'x,y,z'
'-x,-y,z'
'x,-y,-z'
'-x,y,-z'
'x+1/2,y+1/2,z'
'-x+1/2,-y+1/2,z'
'x+1/2,-y+1/2,-z'
'-x+1/2,y+1/2,-z'
loop_
_atom_site_label
_atom_site_type_symbol
_atom_site_fract_x
_atom_site_fract_y
_atom_site_fract_z
Mn1 Mn 0.0000 0.0000 0.0000
Mn2 Mn 0.2500 0.2500 0.7470
Ni1 Ni 0.0000 0.0000 0.5000
Cl1 Cl 0.0000 0.2250 0.5000
Cl2 Cl 0.0000 0.2369 0.0000
Cl3 Cl 0.2371 0.0137 0.7394

=====

# GdHoTl2 | Alexandria via LeMat-Bulk | PBE | optimized geometry
# - energy of formation (eV/atom) = -0.367
# - electronic total energy (eV/f.u.) = -24.86
# - offset from the most stable computed form (eV per formula unit) = 0.00
data_GdHoTl2
_cell_length_a 3.6016
_cell_length_b 3.6016
_cell_length_c 8.4475
_cell_angle_alpha 90.00
_cell_angle_beta 90.00
_cell_angle_gamma 90.00
_symmetry_space_group_name_H-M 'P 4/m m m'
_symmetry_Int_Tables_number 123
_symmetry_space_group_name_Hall '-P 4 2'
loop_
_atom_site_label
_atom_site_type_symbol
_atom_site_fract_x
_atom_site_fract_y
_atom_site_fract_z
Gd1 Gd 0.0000 0.0000 0.0000
Ho1 Ho 0.0000 0.0000 0.5000
Tl1 Tl 0.5000 0.5000 0.2537

=====

# Pm3Dy2Tm | Alexandria via LeMat-Bulk | PBE | optimized geometry
# - energy of formation (eV/atom) = 0.008
# - electronic total energy (eV/f.u.) = -27.88
# - offset from the most stable computed form (eV per formula unit) = 0.00
data_Pm3Dy2Tm
_cell_length_a 17.8522
_cell_length_b 7.2228
_cell_length_c 6.2651
_cell_angle_alpha 90.00
_cell_angle_beta 103.55
_cell_angle_gamma 90.00
_symmetry_space_group_name_H-M 'C 1 2/c 1'
_symmetry_Int_Tables_number 15
loop_
_symmetry_equiv_pos_as_xyz
'x,y,z'
'-x,-y,-z'
'-x,y,-z+1/2'
'x,-y,z+1/2'
'x+1/2,y+1/2,z'
'-x+1/2,-y+1/2,-z'
'-x+1/2,y+1/2,-z+1/2'
'x+1/2,-y+1/2,z+1/2'
loop_
_atom_site_label
_atom_site_type_symbol
_atom_site_fract_x
_atom_site_fract_y
_atom_site_fract_z
Pm1 Pm 0.0000 0.1268 0.2500
Pm2 Pm 0.1671 0.1255 0.0257
Dy1 Dy 0.1656 0.3761 0.5289
Tm1 Tm 0.0000 0.3776 0.7500

=====

# Hf2ScRu | Alexandria via LeMat-Bulk | PBE | optimized geometry
# - energy of formation (eV/atom) = 0.028
# - electronic total energy (eV/f.u.) = -35.40
# - offset from the most stable computed form (eV per formula unit) = 1.19
data_Hf2ScRu
_cell_length_a 7.7427
_cell_length_b 7.7427
_cell_length_c 5.7996
_cell_angle_alpha 90.00
_cell_angle_beta 90.00
_cell_angle_gamma 90.00
_symmetry_space_group_name_H-M 'I -4 2 d'
_symmetry_Int_Tables_number 122
_symmetry_space_group_name_Hall 'I -4 2bw'
loop_
_atom_site_label
_atom_site_type_symbol
_atom_site_fract_x
_atom_site_fract_y
_atom_site_fract_z
Hf1 Hf 0.1917 0.2500 0.1250
Sc1 Sc 0.0000 0.0000 0.5000
Ru1 Ru 0.0000 0.0000 0.0000

=====

# Pm6InPb2 | Alexandria via LeMat-Bulk | PBE | optimized geometry
# - energy of formation (eV/atom) = -0.395
# - electronic total energy (eV/f.u.) = -42.22
data_Pm6InPb2
_cell_length_a 8.6028
_cell_length_b 8.6028
_cell_length_c 4.5541
_cell_angle_alpha 90.00
_cell_angle_beta 90.00
_cell_angle_gamma 120.00
_symmetry_space_group_name_H-M 'P -6 2 m'
_symmetry_Int_Tables_number 189
_symmetry_space_group_name_Hall 'P -6 -2'
loop_
_atom_site_label
_atom_site_type_symbol
_atom_site_fract_x
_atom_site_fract_y
_atom_site_fract_z
Pm1 Pm 0.0000 0.4065 0.0000
Pm2 Pm 0.0000 0.7430 0.5000
In1 In 0.0000 0.0000 0.0000
Pb1 Pb 0.3333 0.6667 0.5000

=====

# Sm6Tl3Co | Alexandria via LeMat-Bulk | PBE | optimized geometry
# - energy of formation (eV/atom) = -0.193
# - electronic total energy (eV/f.u.) = -44.45
data_Sm6Tl3Co
_cell_length_a 6.0661
_cell_length_b 9.0407
_cell_length_c 12.1821
_cell_angle_alpha 90.00
_cell_angle_beta 117.24
_cell_angle_gamma 90.00
_symmetry_space_group_name_H-M 'P 1 21/c 1'
_symmetry_Int_Tables_number 14
loop_
_symmetry_equiv_pos_as_xyz
'x,y,z'
'-x,-y,-z'
'-x,y+1/2,-z+1/2'
'x,-y+1/2,z+1/2'
loop_
_atom_site_label
_atom_site_type_symbol
_atom_site_fract_x
_atom_site_fract_y
_atom_site_fract_z
Sm1 Sm 0.0546 0.1552 0.4419
Sm2 Sm 0.3564 0.6974 0.4355
Sm3 Sm 0.3958 0.0462 0.2773
Tl1 Tl 0.0000 0.0000 0.0000
Tl2 Tl 0.1706 0.1179 0.7623
Co1 Co 0.5000 0.0000 0.5000

=====

# Tb2CuSi | Alexandria via LeMat-Bulk | PBE | optimized geometry
# - electronic total energy (eV/f.u.) = -17.74
# - formation energy (no corrections) (meV per atom) = 258.7
data_Tb2CuSi
_cell_length_a 3.6899
_cell_length_b 3.6899
_cell_length_c 28.0294
_cell_angle_alpha 90.00
_cell_angle_beta 90.00
_cell_angle_gamma 120.00
_symmetry_space_group_name_H-M 'R -3 m'
_symmetry_Int_Tables_number 166
_symmetry_space_group_name_Hall '-R 3 2"'
loop_
_atom_site_label
_atom_site_type_symbol
_atom_site_fract_x
_atom_site_fract_y
_atom_site_fract_z
Tb1 Tb 0.0000 0.0000 0.1006
Cu1 Cu 0.0000 0.0000 0.0000
Si1 Si 0.0000 0.0000 0.5000